This record from Alexandria describes crystalline Cs2Tl5Au4 at its relaxed geometry. The functional is GGA-PBE.

Lattice parameters (Å, degrees): 7.9341 7.1706 9.1877 79.21 64.42 56.41
Last column: nearest neighbours and their distance in Å.
Atoms (fractional coordinates):
Cs  0.2648  0.8015  0.6688  3 Au 3.63-4.04, 2 Tl 3.89
Cs  0.7352  0.1985  0.3312  3 Au 3.63-4.04, 2 Tl 3.89
Tl  0.2234  0.2288  0.9086  3 Au 2.87-3.01, 1 Tl 3.21
Tl  0.7766  0.7712  0.0914  3 Au 2.87-3.01, 1 Tl 3.21
Tl  0.0000  0.5000  0.5000  4 Au 2.88-2.93
Tl  0.6392  0.2288  0.9086  3 Au 2.87-3.01, 1 Tl 3.21
Tl  0.3608  0.7712  0.0914  3 Au 2.87-3.01, 1 Tl 3.21
Au  0.3124  0.0810  0.2942  1 Au 2.86, 3 Tl 2.92-2.93
Au  0.6876  0.9190  0.7058  1 Au 2.86, 3 Tl 2.92-2.93
Au  0.8291  0.4946  0.8472  1 Au 2.86, 5 Tl 2.87-3.01
Au  0.1709  0.5054  0.1528  1 Au 2.86, 5 Tl 2.87-3.01

## Properties
N(E_F) = 5.81 states/eV per cell
SG = C2/m, No. 12
ΔH_f (0 K) = -0.10 eV/atom